# Sc2TlF7

Sc2TlF7 after structural relaxation (GGA-PBE, Alexandria via LeMat-Bulk).

* total energy: -63.53 eV/cell
* DOS at the Fermi energy: 0.00 states/eV/f.u.
* formation energy from raw total energies: -341.54 kJ per mole of atoms

The structure in POSCAR format:
```
Sc2TlF7
1.0
3.3090 -5.4790 0.0000
3.3090 5.4790 0.0000
0.0000 0.0000 4.1089
Sc Tl F
2 1 7
Cartesian
3.3090 3.3909 0.0000 Sc
3.3090 -3.3909 0.0000 Sc
3.3090 0.0000 2.0544 Tl
0.0000 0.0000 0.0000 F
2.0541 1.6245 0.0000 F
3.3090 3.3279 2.0544 F
2.0541 -1.6245 0.0000 F
4.5640 1.6245 0.0000 F
3.3090 -3.3279 2.0544 F
4.5640 -1.6245 0.0000 F
```